## CsSrTa (PBE)

Data for crystalline CsSrTa at its relaxed geometry.

Computed properties:
The calculated formation energy comes out at 745 kJ/mol of formula units.

Unit cell a=6.450 b=6.450 c=11.155 alpha=90.00 beta=90.00 gamma=120.00
Fractional positions:
Cs  0.333  0.667  0.250
Cs  0.667  0.333  0.750
Sr  0.000  0.000  0.250
Sr  0.000  0.000  0.750
Ta  0.000  0.000  0.000
Ta  0.000  0.000  0.500